VASP calculation (PBE) on an optimized crystal structure of BaSrLa2Pt.

Results
distance to the lowest polymorph of the same formula = 0 meV/atom
VASP energy = -21.54 eV for the cell shown
magnetic moment = 0.00 μB/cell

Cell: 5.796 5.796 6.280 Å, 90.00 90.00 90.00°
Element x y z (fractional)
Ba 0.000 0.000 0.000
Sr 0.500 0.500 0.000
La 0.000 0.500 0.500
La 0.500 0.000 0.500
Pt 0.500 0.500 0.500